A relaxed TaHg2P crystal. Source: Alexandria, functional PBE-GGA.

Values from the calculation:
formation enthalpy at 0 K = 0.74 eV/atom

a b c (Å): 5.1694 5.1694 2.9818
angles (deg): 90.00 90.00 90.00
Last column: nearest neighbours and their distance in Å.
Fractional positions:
1 Ta 0.0000 0.0000 0.0000  2 Ta 2.98, 8 Hg 2.98
2 Hg 0.0000 0.5000 0.5000  2 Hg 2.98, 4 P 2.98, 4 Ta 2.98
3 Hg 0.5000 0.0000 0.5000  2 Hg 2.98, 4 P 2.98, 4 Ta 2.98
4 P 0.5000 0.5000 0.0000  2 P 2.98, 8 Hg 2.98

A relaxed DyMgCuPb crystal. Source: Alexandria, functional PBE-GGA.

Values from the calculation:
formation enthalpy at 0 K = -0.20 eV/atom

a b c (Å): 5.0454 5.0454 5.0454
angles (deg): 60.00 60.00 60.00
Last column: nearest neighbours and their distance in Å.
Fractional positions:
1 Dy 0.0000 0.0000 0.0000  4 Pb 3.09, 4 Cu 3.09
2 Mg 0.5000 0.5000 0.5000  4 Pb 3.09, 4 Cu 3.09
3 Cu 0.2500 0.2500 0.2500  4 Dy 3.09, 4 Mg 3.09
4 Pb 0.7500 0.7500 0.7500  4 Mg 3.09, 4 Dy 3.09

A relaxed NbV3P2 crystal. Source: Alexandria, functional PBE-GGA.

Values from the calculation:
formation enthalpy at 0 K = -0.65 eV/atom

a b c (Å): 7.2926 7.2926 7.6553
angles (deg): 114.08 114.08 26.70
Last column: nearest neighbours and their distance in Å.
Fractional positions:
1 Nb 0.1165 0.1165 0.1306  6 P 2.51-2.74
2 Nb 0.8835 0.8835 0.8694  6 P 2.51-2.74
3 V 0.0440 0.0440 0.6651  1 V 2.30, 3 P 2.32-2.54
4 V 0.3150 0.3150 0.1009  4 P 2.39-2.62, 4 V 2.50-2.65
5 V 0.3412 0.3412 0.5146  4 P 2.38-2.64
6 V 0.6588 0.6588 0.4854  4 P 2.38-2.64
7 V 0.6850 0.6850 0.8991  4 P 2.39-2.62, 4 V 2.50-2.65
8 V 0.9560 0.9560 0.3349  1 V 2.30, 3 P 2.32-2.54
9 P 0.2339 0.2339 0.7244  7 V 2.38-2.64, 2 Nb 2.57
10 P 0.4953 0.4953 0.1673  4 V 2.32-2.56, 2 Nb 2.51
11 P 0.5047 0.5047 0.8327  4 V 2.32-2.56, 2 Nb 2.51
12 P 0.7661 0.7661 0.2756  7 V 2.38-2.64, 2 Nb 2.57

A relaxed ZnRuBr2 crystal. Source: Alexandria, functional PBE-GGA.

Values from the calculation:
E_form (uncorrected) = 336.0 meV/atom
offset from the most stable computed form = 383 meV/atom

a b c (Å): 6.6625 6.6625 6.6625
angles (deg): 153.09 139.46 49.33
Last column: nearest neighbours and their distance in Å.
Fractional positions:
1 Zn 0.0000 0.0000 0.0000  2 Ru 2.61
2 Ru 0.8271 0.3271 0.5000  2 Zn 2.61, 6 Br 2.67-2.79
3 Br 0.3462 0.8462 0.5000  4 Ru 2.79, 2 Zn 2.97, 2 Br 3.10
4 Br 0.6479 0.6479 0.0000  2 Ru 2.67

A relaxed EuRhN crystal. Source: Alexandria, functional PBE-GGA.

Values from the calculation:
E_form (uncorrected) = -223.9 meV/atom

a b c (Å): 3.3306 3.3306 5.1518
angles (deg): 90.00 90.00 120.00
Last column: nearest neighbours and their distance in Å.
Fractional positions:
1 Eu 0.0000 0.0000 0.0000  3 N 2.45
2 Rh 0.6667 0.3333 0.4593  3 N 2.10
3 N 0.3333 0.6667 0.2961  3 Rh 2.10

A relaxed LiAcN crystal. Source: Alexandria, functional PBE-GGA.

Values from the calculation:
E_form (uncorrected) = -394.6 meV/atom
offset from the most stable computed form = 346 meV/atom

a b c (Å): 4.3378 4.3378 4.3378
angles (deg): 60.00 60.00 60.00
Last column: nearest neighbours and their distance in Å.
Fractional positions:
1 Li 0.0000 0.0000 0.0000  4 N 2.66
2 Ac 0.5000 0.5000 0.5000  4 N 2.66
3 N 0.2500 0.2500 0.2500  4 Ac 2.66, 4 Li 2.66